Material: EuTiAl4
Method: DFT, PBE
State: optimized geometry

Values from the calculation:
**Mass density**: 4.49 Mg/m³
**Calculated formation energy**: -254.9 meV/atom
**Total magnetization**: 8.373 μB per formula unit

Lattice parameters (Å, degrees): 5.441 5.441 5.441 60.00 60.00 60.00
Atoms (fractional coordinates):
Eu 0.000 0.000 0.000
Ti 0.750 0.750 0.750
Al 0.375 0.375 0.375
Al 0.375 0.375 0.874
Al 0.375 0.874 0.375
Al 0.874 0.375 0.375

---

Material: EuAl4Tl
Method: DFT, PBE
State: optimized geometry

Values from the calculation:
**Mass density**: 5.85 Mg/m³
**Calculated formation energy**: -85.3 meV/atom
**Total magnetization**: 7.401 μB per formula unit

Lattice parameters (Å, degrees): 5.713 5.713 5.713 60.00 60.00 60.00
Atoms (fractional coordinates):
Eu 0.000 0.000 0.000
Al 0.374 0.374 0.374
Al 0.374 0.374 0.878
Al 0.374 0.878 0.374
Al 0.878 0.374 0.374
Tl 0.750 0.750 0.750

---

Material: EuAlTl
Method: DFT, PBE
State: optimized geometry

Values from the calculation:
**Mass density**: 8.10 Mg/m³
**Calculated formation energy**: -261.9 meV/atom
**Total magnetization**: 7.221 μB per formula unit

Lattice parameters (Å, degrees): 4.914 4.914 3.758 90.00 90.00 120.00
Atoms (fractional coordinates):
Eu 0.000 0.000 0.000
Al 0.667 0.333 0.500
Tl 0.333 0.667 0.500

---

Material: EuAlTl
Method: DFT, PBE
State: optimized geometry

Values from the calculation:
**Mass density**: 7.38 Mg/m³
**Calculated formation energy**: -151.9 meV/atom
**Total magnetization**: 6.996 μB per formula unit

Lattice parameters (Å, degrees): 4.960 4.960 4.960 60.00 60.00 60.00
Atoms (fractional coordinates):
Eu 0.000 0.000 0.000
Al 0.250 0.250 0.250
Tl 0.500 0.500 0.500

---

Material: EuAlTlZn
Method: DFT, PBE
State: optimized geometry

Values from the calculation:
**Mass density**: 7.95 Mg/m³
**Calculated formation energy**: -137.7 meV/atom
**Total magnetization**: 6.946 μB per formula unit

Lattice parameters (Å, degrees): 5.100 5.100 5.100 60.00 60.00 60.00
Atoms (fractional coordinates):
Eu 0.000 0.000 0.000
Al 0.500 0.500 0.500
Tl 0.250 0.250 0.250
Zn 0.750 0.750 0.750

---

Material: EuTm2Al
Method: DFT, PBE
State: optimized geometry

Values from the calculation:
**Distance to the lowest polymorph of the same formula**: 22.8 kJ per mole of atoms
**Mass density**: 7.13 Mg/m³
**Calculated formation energy**: 84.0 meV/atom
**Total magnetization**: 7.553 μB per formula unit

Lattice parameters (Å, degrees): 11.568 11.568 11.568 17.36 17.36 17.36
Atoms (fractional coordinates):
Eu 0.000 0.000 0.000
Tm 0.101 0.101 0.101
Tm 0.899 0.899 0.899
Al 0.500 0.500 0.500

---

Respective total DFT energy (no corrections) values: -5.778 -4.687 -5.723 -5.613 -4.552 -5.656 eV/atom.